No. 1
# PBE-GGA TbNd2P3, relaxed
# energy of formation = -901 kJ/mol of formula units
# space group = C2/m, No. 12
data_TbNd2P3
_chemical_formula_sum 'Tb2 Nd4 P6'
_symmetry_space_group_name_H-M 'P 1'
_symmetry_Int_Tables_number 1
_cell_length_a 7.1391
_cell_length_b 7.1391
_cell_length_c 7.1397
_cell_angle_alpha 99.59
_cell_angle_beta 99.59
_cell_angle_gamma 119.99
loop_
_symmetry_equiv_pos_as_xyz
'x,y,z'
loop_
_atom_site_label
_atom_site_type_symbol
_atom_site_fract_x
_atom_site_fract_y
_atom_site_fract_z
Tb1 Tb 0.6664 0.3336 0.0000
Tb2 Tb 0.0003 0.9997 0.0000
Nd1 Nd 0.8333 0.1667 0.5000
P1 P 0.9140 0.5851 0.7553
Nd2 Nd 0.1674 0.8326 0.5000
P2 P 0.2517 0.2473 0.7553
Nd3 Nd 0.4993 0.5007 0.5000
P3 P 0.7527 0.7483 0.2447
Nd4 Nd 0.3333 0.6667 0.0000
P4 P 0.4149 0.0860 0.2447
P5 P 0.0768 0.4101 0.2439
P6 P 0.5899 0.9232 0.7561

=====

No. 2
# PBE-GGA TbNd5P6, relaxed
# energy of formation = -1791 kJ/mol of formula units
# space group = C2/m, No. 12
data_TbNd5P6
_chemical_formula_sum 'Tb1 Nd5 P6'
_symmetry_space_group_name_H-M 'P 1'
_symmetry_Int_Tables_number 1
_cell_length_a 7.1806
_cell_length_b 7.1819
_cell_length_c 7.1803
_cell_angle_alpha 59.99
_cell_angle_beta 80.40
_cell_angle_gamma 70.51
loop_
_symmetry_equiv_pos_as_xyz
'x,y,z'
loop_
_atom_site_label
_atom_site_type_symbol
_atom_site_fract_x
_atom_site_fract_y
_atom_site_fract_z
Tb1 Tb 0.0000 0.0000 0.0000
P1 P 0.7530 0.0823 0.3290
P2 P 0.7530 0.4113 0.6710
P3 P 0.2476 0.2464 0.0000
Nd1 Nd 0.5000 0.5000 0.0000
Nd2 Nd 0.5000 0.1673 0.6654
Nd3 Nd 0.5000 0.8327 0.3346
P4 P 0.7524 0.7536 0.0000
Nd4 Nd 0.0000 0.6665 0.6671
P5 P 0.2470 0.9177 0.6710
Nd5 Nd 0.0000 0.3335 0.3329
P6 P 0.2470 0.5887 0.3290

=====

No. 3
# PBE-GGA Tb4NdP5, relaxed
# energy of formation = -1536 kJ/mol of formula units
# space group = C2/m, No. 12
data_Tb4NdP5
_chemical_formula_sum 'Tb4 Nd1 P5'
_symmetry_space_group_name_H-M 'P 1'
_symmetry_Int_Tables_number 1
_cell_length_a 4.0594
_cell_length_b 7.0229
_cell_length_c 9.0705
_cell_angle_alpha 75.08
_cell_angle_beta 77.07
_cell_angle_gamma 73.20
loop_
_symmetry_equiv_pos_as_xyz
'x,y,z'
loop_
_atom_site_label
_atom_site_type_symbol
_atom_site_fract_x
_atom_site_fract_y
_atom_site_fract_z
P1 P 0.0000 0.5000 0.5000
P2 P 0.6031 0.6912 0.1025
Tb1 Tb 0.7995 0.6031 0.7979
Tb2 Tb 0.4010 0.7981 0.4000
P3 P 0.7981 0.0992 0.3045
Tb3 Tb 0.2005 0.3969 0.2021
Nd1 Nd 0.0000 0.0000 0.0000
P4 P 0.2019 0.9008 0.6955
Tb4 Tb 0.5990 0.2019 0.6000
P5 P 0.3969 0.3088 0.8975

=====

Among the records above, which one has the highest energy of formation?
TbNd2P3

=====

Repeat the first record exactly.
# PBE-GGA TbNd2P3, relaxed
# energy of formation = -901 kJ/mol of formula units
# space group = C2/m, No. 12
data_TbNd2P3
_chemical_formula_sum 'Tb2 Nd4 P6'
_symmetry_space_group_name_H-M 'P 1'
_symmetry_Int_Tables_number 1
_cell_length_a 7.1391
_cell_length_b 7.1391
_cell_length_c 7.1397
_cell_angle_alpha 99.59
_cell_angle_beta 99.59
_cell_angle_gamma 119.99
loop_
_symmetry_equiv_pos_as_xyz
'x,y,z'
loop_
_atom_site_label
_atom_site_type_symbol
_atom_site_fract_x
_atom_site_fract_y
_atom_site_fract_z
Tb1 Tb 0.6664 0.3336 0.0000
Tb2 Tb 0.0003 0.9997 0.0000
Nd1 Nd 0.8333 0.1667 0.5000
P1 P 0.9140 0.5851 0.7553
Nd2 Nd 0.1674 0.8326 0.5000
P2 P 0.2517 0.2473 0.7553
Nd3 Nd 0.4993 0.5007 0.5000
P3 P 0.7527 0.7483 0.2447
Nd4 Nd 0.3333 0.6667 0.0000
P4 P 0.4149 0.0860 0.2447
P5 P 0.0768 0.4101 0.2439
P6 P 0.5899 0.9232 0.7561